The following is a DFT calculation (GGA-PBE) of ErTmAl2Zn2 after structural relaxation.

Unit cell a=4.4384 b=4.4384 c=7.0702 alpha=90.00 beta=90.00 gamma=120.00
Positions (direct):
1 Er 0.0000 0.0000 0.0000
2 Tm 0.0000 0.0000 0.4999
3 Al 0.3333 0.6667 0.2284
4 Al 0.6667 0.3333 0.7226
5 Zn 0.3333 0.6667 0.7893
6 Zn 0.6667 0.3333 0.2966

Results
As for the uncorrected energy: -3.635 eV per atom. The calculation puts the total moment at 0.00 μB/atom.